[1]
First-principles (PBE-GGA) data for crystalline Rb2Li2Ag at its relaxed geometry, as listed in the Alexandria database.

Summary:
The calculation puts the total energy at -1.582 eV per atom. The formation energy is 0.141 eV per atom. As for the energy above the most stable polymorph in this dataset: 0 meV/atom.

a = 7.690 Å, b = 7.690 Å, c = 6.261 Å
α = 90.00°, β = 90.00°, γ = 90.00°
Atoms (fractional coordinates):
Rb 0.192 0.308 0.000
Rb 0.308 0.808 0.000
Rb 0.692 0.192 0.000
Rb 0.808 0.692 0.000
Li 0.154 0.654 0.500
Li 0.346 0.154 0.500
Li 0.654 0.846 0.500
Li 0.846 0.346 0.500
Ag 0.000 0.000 0.500
Ag 0.500 0.500 0.500


[2]
First-principles (PBE-GGA) data for crystalline Ti4V at its relaxed geometry, as listed in the Alexandria database.

Summary:
The calculation puts the total energy at -8.024 eV per atom. The formation energy is 0.116 eV per atom. As for the energy above the most stable polymorph in this dataset: 0 meV/atom.

a = 11.663 Å, b = 11.523 Å, c = 2.804 Å
α = 85.90°, β = 80.22°, γ = 13.88°
Atoms (fractional coordinates):
Ti 0.091 0.091 0.909
Ti 0.301 0.301 0.699
Ti 0.699 0.699 0.301
Ti 0.909 0.909 0.091
V 0.500 0.500 0.500


[3]
First-principles (PBE-GGA) data for crystalline NaRuRh at its relaxed geometry, as listed in the Alexandria database.

Summary:
The calculation puts the total energy at -5.406 eV per atom. The formation energy is 0.576 eV per atom. As for the energy above the most stable polymorph in this dataset: 283 meV/atom.

a = 5.185 Å, b = 4.504 Å, c = 8.103 Å
α = 90.00°, β = 90.00°, γ = 90.00°
Atoms (fractional coordinates):
Na 0.120 0.250 0.018
Na 0.380 0.750 0.518
Na 0.620 0.250 0.482
Na 0.880 0.750 0.982
Ru 0.098 0.250 0.673
Ru 0.402 0.750 0.173
Ru 0.598 0.250 0.827
Ru 0.902 0.750 0.327
Rh 0.117 0.250 0.355
Rh 0.383 0.750 0.855
Rh 0.617 0.250 0.145
Rh 0.883 0.750 0.645


[4]
First-principles (PBE-GGA) data for crystalline KP2Os at its relaxed geometry, as listed in the Alexandria database.

Summary:
The calculation puts the total energy at -5.778 eV per atom. The formation energy is 0.009 eV per atom. As for the energy above the most stable polymorph in this dataset: 170 meV/atom.

a = 2.990 Å, b = 2.990 Å, c = 7.900 Å
α = 90.00°, β = 90.00°, γ = 90.00°
Atoms (fractional coordinates):
K 0.000 0.000 0.000
P 0.500 0.500 0.317
P 0.500 0.500 0.683
Os 0.000 0.000 0.500


[5]
First-principles (PBE-GGA) data for crystalline PmY4Zn at its relaxed geometry, as listed in the Alexandria database.

Summary:
The calculation puts the total energy at -5.419 eV per atom. The formation energy is -0.105 eV per atom. As for the energy above the most stable polymorph in this dataset: 0 meV/atom.

a = 3.590 Å, b = 3.590 Å, c = 13.836 Å
α = 90.00°, β = 90.00°, γ = 90.00°
Atoms (fractional coordinates):
Pm 0.000 0.000 0.000
Y 0.000 0.000 0.373
Y 0.000 0.000 0.627
Y 0.500 0.500 0.185
Y 0.500 0.500 0.815
Zn 0.500 0.500 0.500


[6]
First-principles (PBE-GGA) data for crystalline VGaSn2Bi at its relaxed geometry, as listed in the Alexandria database.

Summary:
The calculation puts the total energy at -3.583 eV per atom. The formation energy is 1.223 eV per atom.

a = 5.905 Å, b = 5.905 Å, c = 5.129 Å
α = 90.00°, β = 90.00°, γ = 90.00°
Atoms (fractional coordinates):
V 0.000 0.000 0.000
Ga 0.500 0.500 0.000
Sn 0.000 0.500 0.500
Sn 0.500 0.000 0.500
Bi 0.000 0.000 0.500